This record from Alexandria describes a relaxed structure of PmTc4N8. The functional is PBE-GGA.

* volume: 13.226 Å³ per atom
* raw formation energy: 0.11 eV/atom
* theoretical density: 6.269 Mg/m³
* size of the total moment: 0.0 μB/cell
* symmetry: No. 166

abc: 5.764 5.764 6.840
angles: 65.08 65.08 60.00
Fractional coordinates of all 13 atoms:
Pm1 0.500 0.500 0.500
Tc1 0.000 0.500 0.000
Tc2 0.500 0.500 0.000
Tc3 0.500 0.000 0.000
Tc4 0.000 0.000 0.000
N1 0.739 0.234 0.794
N2 0.766 0.261 0.206
N3 0.261 0.766 0.206
N4 0.766 0.766 0.206
N5 0.732 0.732 0.803
N6 0.268 0.268 0.197
N7 0.234 0.234 0.794
N8 0.234 0.739 0.794

This record from Alexandria describes a relaxed structure of Pm2TcN. The functional is PBE-GGA.

* volume: 21.082 Å³ per atom
* raw formation energy: 0.02 eV/atom
* theoretical density: 7.916 Mg/m³
* size of the total moment: 1.1 μB/cell
* symmetry: No. 166

abc: 3.407 3.407 8.618
angles: 78.60 78.60 60.00
Each line ends with the local moment (μB).
Fractional coordinates of all 4 atoms:
N1 0.500 0.500 0.500  0.01
Tc1 0.000 0.000 0.000  1.21
Pm1 0.109 0.109 0.672  -0.06
Pm2 0.891 0.891 0.328  -0.06

This record from Alexandria describes a relaxed structure of Pm3TcN5. The functional is PBE-GGA.

* volume: 14.461 Å³ per atom
* raw formation energy: -0.95 eV/atom
* theoretical density: 7.694 Mg/m³
* size of the total moment: 0.0 μB/cell
* symmetry: No. 140

abc: 6.733 6.733 7.459
angles: 116.83 116.83 90.00
Fractional coordinates of all 18 atoms:
Pm1 0.673 0.173 0.000
Pm2 0.327 0.827 0.000
Pm3 0.827 0.673 0.000
Pm4 0.173 0.327 0.000
Pm5 0.250 0.250 0.500
Pm6 0.750 0.750 0.500
Tc1 0.750 0.250 0.500
Tc2 0.250 0.750 0.500
N1 0.001 0.501 0.702
N2 0.701 0.201 0.702
N3 0.201 0.001 0.702
N4 0.501 0.701 0.702
N5 0.999 0.499 0.298
N6 0.299 0.799 0.298
N7 0.799 0.999 0.298
N8 0.499 0.299 0.298
N9 0.500 0.500 0.000
N10 0.000 0.000 0.000

This record from Alexandria describes a relaxed structure of Pm2TcN4. The functional is PBE-GGA.

* volume: 13.476 Å³ per atom
* raw formation energy: -0.77 eV/atom
* theoretical density: 7.816 Mg/m³
* size of the total moment: 0.0 μB/cell
* symmetry: No. 139

abc: 3.867 3.867 6.876
angles: 106.33 106.33 90.00
Fractional coordinates of all 7 atoms:
N1 0.831 0.831 0.663
N2 0.169 0.169 0.337
N3 0.000 0.500 0.000
N4 0.500 0.000 0.000
Tc1 0.000 0.000 0.000
Pm1 0.647 0.647 0.293
Pm2 0.353 0.353 0.707